(1)
This record from Alexandria via LeMat-Bulk describes a geometry-optimized La2NdHfN4 structure. The functional is GGA-PBE.

Its crystal system is monoclinic. The uncorrected energy is -69.27 eV for the cell shown. For the total magnetization, the calculation gives 0.0 μB per formula unit. The calculation puts the uncorrected formation energy at -1.424 eV/atom.

Cell lengths 6.1680, 3.5333, 6.2402 Å; angles 90.00, 108.98, 90.00 degrees
Space group P2/m (No. 10)
One atom of each set of equivalent atoms:
La: 0.0000 0.0000 0.0000 [1 per cell]
La: 0.5000 0.5000 0.0000 [1 per cell]
Nd: 0.0000 0.5000 0.5000 [1 per cell]
Hf: 0.5000 0.0000 0.5000 [1 per cell]
N: 0.2699 0.0000 0.7239 [2 per cell]
N: 0.2796 0.5000 0.2820 [2 per cell]

---

(2)
This record from Alexandria via LeMat-Bulk describes a geometry-optimized AsRu3 structure. The functional is GGA-PBE.

The formation energy is 0.064 eV per atom. Its crystal system is orthorhombic. The uncorrected energy is -128.88 eV for the cell shown. The relative energy among the computed polymorphs comes out at 0.000 eV/atom. For the total magnetization, the calculation gives 0.0 μB per formula unit.

Cell lengths 5.2796, 8.1551, 5.3185 Å; angles 90.00, 90.00, 90.00 degrees
Space group Pnma (No. 62)
One atom of each set of equivalent atoms:
As: 0.0230 0.2500 0.0166 [4 per cell]
Ru: 0.0067 0.7500 0.5177 [4 per cell]
Ru: 0.1864 0.5182 0.1861 [8 per cell]

---

(3)
This record from Alexandria via LeMat-Bulk describes a geometry-optimized Li3Pm3AlS8 structure. The functional is GGA-PBE.

Its crystal system is trigonal. The uncorrected energy is -238.44 eV for the cell shown. For the total magnetization, the calculation gives 0.0 μB per formula unit. The calculation puts the uncorrected formation energy at -1.515 eV/atom.

Cell lengths 7.9440, 7.9440, 18.0387 Å; angles 90.00, 90.00, 120.00 degrees
Space group R-3m (No. 166, hexagonal axes)
One atom of each set of equivalent atoms:
Li: 0.0000 0.5000 0.0000 [9 per cell]
Pm: 0.0000 0.5000 0.5000 [9 per cell]
Al: 0.0000 0.0000 0.5000 [3 per cell]
S: 0.0000 0.0000 0.2537 [6 per cell]
S: 0.0376 0.5188 0.2458 [18 per cell]

---

(4)
This record from Alexandria via LeMat-Bulk describes a geometry-optimized Tb3Er2ThSe6 structure. The functional is GGA-PBE.

Its crystal system is monoclinic. The uncorrected energy is -143.48 eV for the cell shown. For the total magnetization, the calculation gives 0.0 μB per formula unit. The calculation puts the uncorrected formation energy at -1.700 eV/atom.

Cell lengths 17.7819, 4.0662, 8.2621 Å; angles 90.00, 101.87, 90.00 degrees
Space group C2/m (No. 12)
One atom of each set of equivalent atoms:
Tb: 0.0000 0.0000 0.0000 [2 per cell]
Tb: 0.1592 0.5000 0.3352 [4 per cell]
Er: 0.1641 0.5000 0.8305 [4 per cell]
Th: 0.0000 0.0000 0.5000 [2 per cell]
Se: 0.0038 0.5000 0.7619 [4 per cell]
Se: 0.1694 0.0000 0.0819 [4 per cell]
Se: 0.1732 0.0000 0.5924 [4 per cell]

---

(5)
This record from Alexandria via LeMat-Bulk describes a geometry-optimized Ba2AuIBr structure. The functional is GGA-PBE.

Its crystal system is trigonal. The uncorrected energy is -16.95 eV for the cell shown. The relative energy among the computed polymorphs comes out at 0.000 eV/atom. For the total magnetization, the calculation gives 0.7 μB per formula unit. The calculation puts the uncorrected formation energy at -1.320 eV/atom.

Cell lengths 5.7063, 5.7063, 7.1433 Å; angles 90.00, 90.00, 120.00 degrees
Space group P3m1 (No. 156)
One atom of each set of equivalent atoms:
Ba: 0.0000 0.0000 0.0000 [1 per cell]
Ba: 0.3333 0.6667 0.5308 [1 per cell]
Au: 0.0000 0.0000 0.4765 [1 per cell]
I: 0.6667 0.3333 0.7695 [1 per cell]
Br: 0.3333 0.6667 0.0646 [1 per cell]

---

(6)
This record from Alexandria via LeMat-Bulk describes a geometry-optimized Tl2ZnBW structure. The functional is GGA-PBE.

The formation energy is 1.645 eV per atom. Its crystal system is tetragonal. The uncorrected energy is -17.41 eV for the cell shown. For the total magnetization, the calculation gives 2.6 μB per formula unit.

Cell lengths 5.3470, 5.3470, 3.7847 Å; angles 90.00, 90.00, 90.00 degrees
Space group P4/mmm (No. 123)
One atom of each set of equivalent atoms:
Tl: 0.0000 0.5000 0.0000 [2 per cell]
Zn: 0.0000 0.0000 0.0000 [1 per cell]
B: 0.0000 0.0000 0.5000 [1 per cell]
W: 0.5000 0.5000 0.5000 [1 per cell]

---

(7)
This record from Alexandria via LeMat-Bulk describes a geometry-optimized HoCrFe2 structure. The functional is GGA-PBE.

The formation energy is 0.595 eV per atom. Its crystal system is trigonal. The uncorrected energy is -86.24 eV for the cell shown. For the total magnetization, the calculation gives 2.3 μB per formula unit.

Cell lengths 2.9823, 2.9823, 24.0934 Å; angles 90.00, 90.00, 120.00 degrees
Space group R-3m (No. 166, hexagonal axes)
One atom of each set of equivalent atoms:
Ho: 0.0000 0.0000 0.0000 [3 per cell]
Cr: 0.0000 0.0000 0.5000 [3 per cell]
Fe: 0.0000 0.0000 0.2352 [6 per cell]

---

(8)
This record from Alexandria via LeMat-Bulk describes a geometry-optimized Rb2TlHg6Pt structure. The functional is GGA-PBE.

The formation energy is -0.134 eV per atom. Its crystal system is tetragonal. The uncorrected energy is -13.49 eV for the cell shown. For the total magnetization, the calculation gives 0.0 μB per formula unit.

Cell lengths 5.5878, 5.5878, 11.7017 Å; angles 90.00, 90.00, 90.00 degrees
Space group P4/mmm (No. 123)
One atom of each set of equivalent atoms:
Rb: 0.0000 0.0000 0.2445 [2 per cell]
Tl: 0.5000 0.5000 0.5000 [1 per cell]
Hg: 0.0000 0.5000 0.0000 [2 per cell]
Hg: 0.0000 0.5000 0.5000 [2 per cell]
Hg: 0.5000 0.5000 0.2322 [2 per cell]
Pt: 0.5000 0.5000 0.0000 [1 per cell]

---

(9)
This record from Alexandria via LeMat-Bulk describes a geometry-optimized NaGe3Os structure. The functional is GGA-PBE.

The formation energy is 1.892 eV per atom. Its crystal system is cubic. The uncorrected energy is -16.94 eV for the cell shown. The relative energy among the computed polymorphs comes out at 1.557 eV/atom. For the total magnetization, the calculation gives 1.9 μB per formula unit.

Cell lengths 4.7883, 4.7883, 4.7883 Å; angles 90.00, 90.00, 90.00 degrees
Space group Pm-3m (No. 221)
One atom of each set of equivalent atoms:
Na: 0.0000 0.0000 0.0000 [1 per cell]
Ge: 0.0000 0.0000 0.5000 [3 per cell]
Os: 0.5000 0.5000 0.5000 [1 per cell]

---

(10)
This record from Alexandria via LeMat-Bulk describes a geometry-optimized Al4Ni15Pt structure. The functional is GGA-PBE.

The formation energy is -0.349 eV per atom. Its crystal system is tetragonal. The uncorrected energy is -114.71 eV for the cell shown. For the total magnetization, the calculation gives 1.3 μB per formula unit.

Cell lengths 3.5851, 3.5851, 17.8846 Å; angles 90.00, 90.00, 90.00 degrees
Space group P4/mmm (No. 123)
One atom of each set of equivalent atoms:
Al: 0.0000 0.0000 0.0985 [2 per cell]
Al: 0.0000 0.0000 0.2953 [2 per cell]
Ni: 0.0000 0.5000 0.0000 [2 per cell]
Ni: 0.0000 0.5000 0.1980 [4 per cell]
Ni: 0.0000 0.5000 0.3958 [4 per cell]
Ni: 0.5000 0.5000 0.0996 [2 per cell]
Ni: 0.5000 0.5000 0.2973 [2 per cell]
Ni: 0.5000 0.5000 0.5000 [1 per cell]
Pt: 0.0000 0.0000 0.5000 [1 per cell]

---

(11)
This record from Alexandria via LeMat-Bulk describes a geometry-optimized MoRuW2 structure. The functional is GGA-PBE.

The formation energy is 0.137 eV per atom. Its crystal system is tetragonal. The uncorrected energy is -45.46 eV for the cell shown. The relative energy among the computed polymorphs comes out at 0.024 eV/atom. For the total magnetization, the calculation gives 0.0 μB per formula unit.

Cell lengths 3.1459, 3.1459, 6.3298 Å; angles 90.00, 90.00, 90.00 degrees
Space group P4mm (No. 99)
One atom of each set of equivalent atoms:
Mo: 0.0000 0.0000 0.0000 [1 per cell]
Ru: 0.5000 0.5000 0.2680 [1 per cell]
W: 0.0000 0.0000 0.5107 [1 per cell]
W: 0.5000 0.5000 0.7616 [1 per cell]